# 1
A relaxed structure of Co2CuOs, computed with PBE.

a b c (Å): 2.615 2.615 25.048
angles (deg): 90.00 90.00 120.00
Fractional positions:
Co 0.000 0.000 0.000
Co 0.000 0.000 0.256
Co 0.333 0.667 0.667
Co 0.333 0.667 0.923
Co 0.667 0.333 0.333
Co 0.667 0.333 0.589
Cu 0.000 0.000 0.750
Cu 0.333 0.667 0.416
Cu 0.667 0.333 0.083
Os 0.000 0.000 0.506
Os 0.333 0.667 0.172
Os 0.667 0.333 0.839

Results
Its space-group type is R3m, No. 160. As for the total energy: -7.1887 eV per atom. The formation energy from the elements comes out at 0.20 eV/atom. The calculation puts the calculated volume at 12.36 Å³/atom. The energy above the most stable polymorph in this dataset is 39 meV/atom.


# 2
A relaxed structure of Hf2Zr2Ga4Cu, computed with PBE.

a b c (Å): 6.284 6.284 6.284
angles (deg): 122.20 122.20 86.23
Fractional positions:
Hf 0.229 0.229 0.000
Hf 0.771 0.771 0.000
Zr 0.250 0.750 0.500
Zr 0.750 0.250 0.500
Ga 0.226 0.226 0.452
Ga 0.226 0.774 0.000
Ga 0.774 0.226 0.000
Ga 0.774 0.774 0.548
Cu 0.500 0.500 0.000

Results
Its space-group type is I4/mmm, No. 139. As for the total energy: -6.0659 eV per atom. The formation energy from the elements comes out at -0.15 eV/atom. The calculation puts the calculated volume at 18.81 Å³/atom.